Entry 1:
Below is an optimized crystal structure of Cu3NiOs, with properties calculated at the PBE level.

Computed properties:
E_form: 1.72 eV per atom
Fermi-level density of states: 6.48 states/eV/f.u.
Raw total energy: -4.143 eV/atom
Energy above the most stable polymorph in this dataset: 255.4 meV per atom

Lattice parameters (Å, degrees): 4.5946 4.5946 4.5946 90.00 90.00 90.00
Space group Pm-3m (No. 221)
Asymmetric unit:
Cu (0.0000, 0.0000, 0.5000) x3
Ni (0.5000, 0.5000, 0.5000) x1
Os (0.0000, 0.0000, 0.0000) x1

=====

Entry 2:
Below is an optimized crystal structure of CuNiOs2, with properties calculated at the PBE level.

Computed properties:
E_form: 0.19 eV per atom
Fermi-level density of states: 4.39 states/eV/f.u.
Raw total energy: -7.895 eV/atom
Energy above the most stable polymorph in this dataset: 22.8 meV per atom

Lattice parameters (Å, degrees): 2.6926 2.6926 25.3716 90.00 90.00 120.00
Space group R3m (No. 160, hexagonal axes)
Asymmetric unit:
Cu (0.0000, 0.0000, 0.0000) x3
Ni (0.0000, 0.0000, 0.7454) x3
Os (0.0000, 0.0000, 0.2462) x3
Os (0.0000, 0.0000, 0.4950) x3

=====

Entry 3:
Below is an optimized crystal structure of CuNiOs2, with properties calculated at the PBE level.

Computed properties:
E_form: 0.45 eV per atom
Fermi-level density of states: 4.86 states/eV/f.u.
Raw total energy: -7.638 eV/atom
Energy above the most stable polymorph in this dataset: 279.1 meV per atom

Lattice parameters (Å, degrees): 2.7262 4.4977 8.8134 90.00 90.00 90.00
Space group Cmm2 (No. 35)
Asymmetric unit:
Cu (0.0000, 0.0000, 0.0000) x2
Ni (0.0000, 0.5000, 0.7666) x2
Os (0.0000, 0.0000, 0.5214) x2
Os (0.0000, 0.5000, 0.2594) x2

=====

Entry 4:
Below is an optimized crystal structure of CuNiOs2, with properties calculated at the PBE level.

Computed properties:
E_form: 0.31 eV per atom
Fermi-level density of states: 2.78 states/eV/f.u.
Raw total energy: -7.769 eV/atom
Energy above the most stable polymorph in this dataset: 147.8 meV per atom

Lattice parameters (Å, degrees): 2.6731 4.2129 9.7859 90.00 90.00 90.00
Space group Immm (No. 71)
Asymmetric unit:
Cu (0.0000, 0.0000, 0.0000) x2
Ni (0.0000, 0.0000, 0.5000) x2
Os (0.0000, 0.5000, 0.2125) x4

=====

Entry 5:
Below is an optimized crystal structure of CuNiOs3, with properties calculated at the PBE level.

Computed properties:
E_form: 2.11 eV per atom
Fermi-level density of states: 6.90 states/eV/f.u.
Raw total energy: -6.605 eV/atom
Energy above the most stable polymorph in this dataset: 0.0 meV per atom

Lattice parameters (Å, degrees): 4.4109 4.4109 4.4109 90.00 90.00 90.00
Space group Pm-3m (No. 221)
Asymmetric unit:
Cu (0.0000, 0.0000, 0.0000) x1
Ni (0.5000, 0.5000, 0.5000) x1
Os (0.0000, 0.5000, 0.5000) x3

=====

Entry 6:
Below is an optimized crystal structure of CuNiOs3, with properties calculated at the PBE level.

Computed properties:
E_form: 2.32 eV per atom
Fermi-level density of states: 6.42 states/eV/f.u.
Raw total energy: -6.395 eV/atom
Energy above the most stable polymorph in this dataset: 210.0 meV per atom

Lattice parameters (Å, degrees): 4.3992 4.3992 4.3992 90.00 90.00 90.00
Space group Pm-3m (No. 221)
Asymmetric unit:
Cu (0.0000, 0.0000, 0.0000) x1
Ni (0.5000, 0.5000, 0.5000) x1
Os (0.0000, 0.0000, 0.5000) x3

=====

Entry 7:
Below is an optimized crystal structure of Cu3NiOs, with properties calculated at the PBE level.

Computed properties:
E_form: 1.46 eV per atom
Fermi-level density of states: 10.78 states/eV/f.u.
Raw total energy: -4.398 eV/atom
Energy above the most stable polymorph in this dataset: 0.0 meV per atom

Lattice parameters (Å, degrees): 4.2342 4.2342 4.2342 90.00 90.00 90.00
Space group Pm-3m (No. 221)
Asymmetric unit:
Cu (0.0000, 0.0000, 0.5000) x3
Ni (0.0000, 0.0000, 0.0000) x1
Os (0.5000, 0.5000, 0.5000) x1

=====

Entry 8:
Below is an optimized crystal structure of CuNiOs2, with properties calculated at the PBE level.

Computed properties:
E_form: 0.41 eV per atom
Fermi-level density of states: 5.36 states/eV/f.u.
Raw total energy: -7.676 eV/atom
Energy above the most stable polymorph in this dataset: 241.5 meV per atom

Lattice parameters (Å, degrees): 3.6946 3.6946 3.8212 90.00 90.00 90.00
Space group P4/mmm (No. 123)
Asymmetric unit:
Cu (0.0000, 0.0000, 0.0000) x1
Ni (0.5000, 0.5000, 0.0000) x1
Os (0.0000, 0.5000, 0.5000) x2

=====

Number 1 is which compound? Cu3NiOs

=====

What is the E_form in the seventh record? 1.46 eV per atom